# 1
# NaNiIr3

A relaxed NaNiIr3 crystal (PBE, Alexandria).

Volume in Å³ per cell: 94
ΔE_f in eV per atom: 1.333
Energy relative to the lowest polymorph listed for this composition in eV per atom: 0.0000
DFT total energy in Ry/atom: -0.397

abc: 4.5526 4.5526 4.5526
angles: 90.00 90.00 90.00
With the nearest neighbours (Å) after each atom.
Space group Pm-3m (No. 221)
One atom of each set of equivalent atoms:
Na 0.0000 0.0000 0.0000 (multiplicity 1)  12 Ir 3.22
Ni 0.5000 0.5000 0.5000 (multiplicity 1)  6 Ir 2.28
Ir 0.0000 0.5000 0.5000 (multiplicity 3)  2 Ni 2.28

# 2
# Na2Ni2Ir

A relaxed Na2Ni2Ir crystal (PBE, Alexandria).

Volume in Å³ per cell: 176
ΔE_f in eV per atom: 0.378
DFT total energy in Ry/atom: -0.311

abc: 6.0645 6.0645 4.7932
angles: 90.00 90.00 90.00
With the nearest neighbours (Å) after each atom.
Space group P4/mbm (No. 127)
One atom of each set of equivalent atoms:
Na 0.1849 0.3151 0.0000 (multiplicity 4)  6 Ni 2.87-3.08, 5 Na 3.13-3.17
Ni 0.1303 0.6303 0.5000 (multiplicity 4)  1 Ni 2.24, 2 Ir 2.38
Ir 0.0000 0.0000 0.5000 (multiplicity 2)  4 Ni 2.38

# 3
# Na2NiIr2

A relaxed Na2NiIr2 crystal (PBE, Alexandria).

Volume in Å³ per cell: 188
ΔE_f in eV per atom: 0.406
Energy relative to the lowest polymorph listed for this composition in eV per atom: 0.0000
DFT total energy in Ry/atom: -0.354

abc: 6.1626 6.1626 4.9554
angles: 90.00 90.00 90.00
With the nearest neighbours (Å) after each atom.
Space group P4/mbm (No. 127)
One atom of each set of equivalent atoms:
Na 0.1751 0.3249 0.0000 (multiplicity 4)  6 Ir 2.97-3.14, 5 Na 3.05-3.22
Ni 0.0000 0.0000 0.5000 (multiplicity 2)  4 Ir 2.39
Ir 0.1366 0.6366 0.5000 (multiplicity 4)  1 Ir 2.38, 2 Ni 2.39

# 4
# Na2NiIr2

A relaxed Na2NiIr2 crystal (PBE, Alexandria).

Volume in Å³ per cell: 157
ΔE_f in eV per atom: 1.000
Energy relative to the lowest polymorph listed for this composition in eV per atom: 0.5941
DFT total energy in Ry/atom: -0.311

abc: 3.2234 3.2234 15.1128
angles: 90.00 90.00 90.00
With the nearest neighbours (Å) after each atom.
Space group I4/mmm (No. 139)
One atom of each set of equivalent atoms:
Na 0.0000 0.5000 0.2500 (multiplicity 4)  4 Na 2.28
Ni 0.0000 0.0000 0.0000 (multiplicity 2)  8 Ir 2.63
Ir 0.0000 0.0000 0.4130 (multiplicity 4)  1 Ir 2.63, 4 Ni 2.63, 4 Na 2.94

Record-wise D(E_F) values, in states/eV/f.u.: 6.060, 3.472, 3.822, 5.489